No. 1
{
  "formula": "BaIr2Pt",
  "functional": "PBE",
  "state": "relaxed",
  "lattice": [[-0.8345, 1.0400, -2.5571], [-3.8388, -0.1811, 1.1791], [0.4698, 6.6468, 2.5501]],
  "species": ["Ba", "Ir", "Ir", "Pt"],
  "fractional_positions": [[0.5000, 0.5000, 0.7500], [0.0000, 0.0000, 0.4273], [0.0000, 0.0000, 0.0727], [0.5000, 0.5000, 0.2500]],
  "e_tot_ev_per_atom": -6.01,
  "relative_energy_mev_per_atom": 621,
  "delta_e_f_mev_per_atom": 412.8
}

No. 2
{
  "formula": "BaIrPt2",
  "functional": "PBE",
  "state": "relaxed",
  "lattice": [[4.8689, 0.0000, 0.0000], [2.4344, 4.2166, 0.0000], [2.4344, 1.4055, 3.9754]],
  "species": ["Ba", "Pt", "Pt", "Ir"],
  "fractional_positions": [[0.5000, 0.5000, 0.5000], [0.2500, 0.2500, 0.2500], [0.0000, 0.0000, 0.0000], [0.7500, 0.7500, 0.7500]],
  "e_tot_ev_per_atom": -5.22,
  "relative_energy_mev_per_atom": 896,
  "delta_e_f_mev_per_atom": 498.7
}

No. 3
{
  "formula": "BaIrPt4",
  "functional": "PBE",
  "state": "relaxed",
  "lattice": [[0.0000, 3.8675, 3.8675], [3.8675, 0.0000, 3.8675], [3.8675, 3.8675, 0.0000]],
  "species": ["Pt", "Pt", "Ba", "Ir", "Pt", "Pt"],
  "fractional_positions": [[0.3740, 0.8781, 0.3740], [0.8781, 0.3740, 0.3740], [0.7500, 0.7500, 0.7500], [0.0000, 0.0000, 0.0000], [0.3740, 0.3740, 0.3740], [0.3740, 0.3740, 0.8781]],
  "e_tot_ev_per_atom": -5.69,
  "delta_e_f_mev_per_atom": 130.2
}

No. 4
{
  "formula": "BaIrPt2",
  "functional": "PBE",
  "state": "relaxed",
  "lattice": [[5.1830, 0.0000, 0.0000], [0.0000, 5.1830, 0.0000], [0.0000, 0.0000, 2.9894]],
  "species": ["Pt", "Ir", "Pt", "Ba"],
  "fractional_positions": [[0.0000, 0.0000, 0.0000], [0.0000, 0.5000, 0.5000], [0.5000, 0.5000, 0.0000], [0.5000, 0.0000, 0.5000]],
  "e_tot_ev_per_atom": -5.43,
  "relative_energy_mev_per_atom": 678,
  "delta_e_f_mev_per_atom": 281.5
}

No. 5
{
  "formula": "BaIr2Pt",
  "functional": "PBE",
  "state": "relaxed",
  "lattice": [[-1.8700, -2.4117, -4.2640], [-3.9160, -3.1972, 1.3919], [0.9071, 5.0606, 1.0310]],
  "species": ["Pt", "Ir", "Ir", "Ba"],
  "fractional_positions": [[0.2500, 0.7500, 0.5000], [0.5000, 0.5000, 0.0000], [0.0000, 0.0000, 0.0000], [0.7500, 0.2500, 0.5000]],
  "e_tot_ev_per_atom": -5.69,
  "relative_energy_mev_per_atom": 942,
  "delta_e_f_mev_per_atom": 733.4
}

No. 6
{
  "formula": "BaIrPt",
  "functional": "PBE",
  "state": "relaxed",
  "lattice": [[-0.7051, 2.9462, 0.6448], [-1.1302, -2.2838, 1.7606], [6.2089, 0.4779, 4.6056]],
  "species": ["Ba", "Pt", "Ir"],
  "fractional_positions": [[0.0000, 0.0000, 0.0028], [0.6667, 0.3333, 0.6304], [0.3333, 0.6667, 0.3668]],
  "e_tot_ev_per_atom": -4.79,
  "relative_energy_mev_per_atom": 1120,
  "delta_e_f_mev_per_atom": 817.2
}

No. 7
{
  "formula": "BaIrPt",
  "functional": "PBE",
  "state": "relaxed",
  "lattice": [[-0.8720, -0.6536, 4.6585], [3.5459, -1.2965, 2.9386], [1.7030, 3.1102, 3.2118]],
  "species": ["Ba", "Pt", "Ir"],
  "fractional_positions": [[0.5000, 0.5000, 0.5000], [0.0000, 0.0000, 0.0000], [0.7500, 0.7500, 0.7500]],
  "e_tot_ev_per_atom": -5.10,
  "relative_energy_mev_per_atom": 808,
  "delta_e_f_mev_per_atom": 505.1
}

No. 8
{
  "formula": "BaIrPt",
  "functional": "PBE",
  "state": "relaxed",
  "lattice": [[4.8425, 0.0000, 0.0000], [2.4212, 4.1937, 0.0000], [2.4212, 1.3979, 3.9538]],
  "species": ["Ba", "Ir", "Pt"],
  "fractional_positions": [[0.7500, 0.7500, 0.7500], [0.0000, 0.0000, 0.0000], [0.5000, 0.5000, 0.5000]],
  "e_tot_ev_per_atom": -4.44,
  "relative_energy_mev_per_atom": 1475,
  "delta_e_f_mev_per_atom": 1171.5
}

No. 9
{
  "formula": "BaIr3Pt",
  "functional": "PBE",
  "state": "relaxed",
  "lattice": [[4.9565, 0.0000, 0.0000], [0.0000, 4.9565, 0.0000], [0.0000, 0.0000, 4.9565]],
  "species": ["Ba", "Pt", "Ir", "Ir", "Ir"],
  "fractional_positions": [[0.5000, 0.5000, 0.5000], [0.0000, 0.0000, 0.0000], [0.0000, 0.0000, 0.5000], [0.5000, 0.0000, 0.0000], [0.0000, 0.5000, 0.0000]],
  "e_tot_ev_per_atom": -5.84,
  "relative_energy_mev_per_atom": 0,
  "delta_e_f_mev_per_atom": 1064.4
}

No. 10
{
  "formula": "BaIr2Pt",
  "functional": "PBE",
  "state": "relaxed",
  "lattice": [[-0.7131, -2.2950, 3.7911], [-3.5679, -2.7009, 0.3511], [1.6237, -5.9550, -0.6449]],
  "species": ["Pt", "Ir", "Ir", "Ba"],
  "fractional_positions": [[0.4415, 0.4415, 0.6757], [0.0658, 0.0658, 0.8028], [0.7408, 0.7408, 0.7779], [0.2519, 0.2519, 0.2436]],
  "e_tot_ev_per_atom": -6.63,
  "relative_energy_mev_per_atom": 0,
  "delta_e_f_mev_per_atom": -208.4
}

No. 11
{
  "formula": "BaIr3Pt",
  "functional": "PBE",
  "state": "relaxed",
  "lattice": [[-5.0087, -0.0998, 0.4101], [-0.1637, -4.0419, -2.9834], [0.3890, -2.9863, 4.0244]],
  "species": ["Ir", "Ir", "Ba", "Pt", "Ir"],
  "fractional_positions": [[0.0000, 0.0000, 0.5000], [0.5000, 0.0000, 0.0000], [0.0000, 0.0000, 0.0000], [0.5000, 0.5000, 0.5000], [0.0000, 0.5000, 0.0000]],
  "e_tot_ev_per_atom": -3.82,
  "relative_energy_mev_per_atom": 2021,
  "delta_e_f_mev_per_atom": 3085.2
}

No. 12
{
  "formula": "BaIr2Pt",
  "functional": "PBE",
  "state": "relaxed",
  "lattice": [[4.3712, 0.0000, 0.0000], [0.0000, 4.2459, 0.0000], [0.0000, 0.0000, 4.2459]],
  "species": ["Ir", "Ir", "Ba", "Pt"],
  "fractional_positions": [[0.0000, 0.0000, 0.0000], [0.0000, 0.5000, 0.5000], [0.5000, 0.0000, 0.5000], [0.5000, 0.5000, 0.0000]],
  "e_tot_ev_per_atom": -5.80,
  "relative_energy_mev_per_atom": 827,
  "delta_e_f_mev_per_atom": 618.4
}

No. 13
{
  "formula": "BaIr2Pt",
  "functional": "PBE",
  "state": "relaxed",
  "lattice": [[5.6323, -0.0305, 0.0076], [1.6675, 5.3799, -0.0076], [-2.9150, -3.6776, 3.1148]],
  "species": ["Pt", "Ir", "Ba", "Ir"],
  "fractional_positions": [[0.4416, 0.4416, 0.0000], [0.0678, 0.0678, 0.0000], [0.7491, 0.2491, 0.5000], [0.2414, 0.7414, 0.5000]],
  "e_tot_ev_per_atom": -5.91,
  "relative_energy_mev_per_atom": 722,
  "delta_e_f_mev_per_atom": 513.4
}

No. 14
{
  "formula": "Ba4IrPt",
  "functional": "PBE",
  "state": "relaxed",
  "lattice": [[7.8328, -0.5105, 0.0000], [-1.8913, 7.6304, 0.0000], [-2.9707, -3.5600, 9.1167]],
  "species": ["Pt", "Ir", "Ba", "Ba", "Ir", "Ba", "Ba", "Pt", "Ba", "Ba", "Ba", "Ba"],
  "fractional_positions": [[0.6756, 0.4256, 0.8511], [0.1728, 0.9228, 0.8456], [0.9532, 0.1963, 0.9038], [0.3115, 0.0591, 0.6368], [0.8272, 0.0772, 0.1544], [0.5494, 0.2926, 0.0962], [0.1747, 0.4224, 0.3632], [0.3244, 0.5744, 0.1489], [0.6885, 0.9409, 0.3632], [0.0468, 0.8037, 0.0962], [0.4506, 0.7074, 0.9038], [0.8253, 0.5776, 0.6368]],
  "e_tot_ev_per_atom": -4.10,
  "relative_energy_mev_per_atom": 0,
  "delta_e_f_mev_per_atom": -332.5
}

No. 15
{
  "formula": "BaIrPt",
  "functional": "PBE",
  "state": "relaxed",
  "lattice": [[6.8724, 0.0000, 0.0000], [0.0000, 6.8724, 0.0000], [0.0000, 0.0000, 6.8724]],
  "species": ["Ir", "Ir", "Pt", "Ba", "Ir", "Ba", "Ba", "Pt", "Ir", "Pt", "Pt", "Ba"],
  "fractional_positions": [[0.8422, 0.8422, 0.8422], [0.3422, 0.6578, 0.1578], [0.4045, 0.4045, 0.4045], [0.8816, 0.6184, 0.3816], [0.1578, 0.3422, 0.6578], [0.6184, 0.3816, 0.8816], [0.3816, 0.8816, 0.6184], [0.0955, 0.5955, 0.9045], [0.6578, 0.1578, 0.3422], [0.9045, 0.0955, 0.5955], [0.5955, 0.9045, 0.0955], [0.1184, 0.1184, 0.1184]],
  "e_tot_ev_per_atom": -5.91,
  "relative_energy_mev_per_atom": 0,
  "delta_e_f_mev_per_atom": -303.1
}

No. 16
{
  "formula": "BaIr2Pt",
  "functional": "PBE",
  "state": "relaxed",
  "lattice": [[2.9500, 0.0000, 0.0000], [0.0000, 5.1180, 0.0000], [0.0000, 0.0000, 5.2110]],
  "species": ["Pt", "Ir", "Ba", "Ir"],
  "fractional_positions": [[0.5000, 0.0000, 0.5000], [0.0000, 0.0000, 0.0000], [0.0000, 0.5000, 0.5000], [0.5000, 0.5000, 0.0000]],
  "e_tot_ev_per_atom": -5.81,
  "relative_energy_mev_per_atom": 822,
  "delta_e_f_mev_per_atom": 613.5
}

No. 17
{
  "formula": "BaIr2Pt",
  "functional": "PBE",
  "state": "relaxed",
  "lattice": [[5.1299, -0.0005, -0.0018], [-2.5278, 5.3842, -0.0015], [0.0743, 0.8028, 2.8260]],
  "species": ["Ir", "Ba", "Pt", "Ir"],
  "fractional_positions": [[0.0000, 0.0000, 0.0000], [0.5000, 0.5000, 0.0000], [0.0000, 0.5000, 0.5000], [0.5000, 0.0000, 0.5000]],
  "e_tot_ev_per_atom": -5.81,
  "relative_energy_mev_per_atom": 816,
  "delta_e_f_mev_per_atom": 607.2
}

No. 18
{
  "formula": "Ba3IrPt",
  "functional": "PBE",
  "state": "relaxed",
  "lattice": [[-4.6465, 0.4839, 3.5933], [2.1539, -4.3302, 3.3683], [2.9166, 3.9688, 3.2370]],
  "species": ["Ir", "Ba", "Ba", "Pt", "Ba"],
  "fractional_positions": [[0.0000, 0.0000, 0.0000], [0.0000, 0.0000, 0.5000], [0.0000, 0.5000, 0.0000], [0.5000, 0.5000, 0.5000], [0.5000, 0.0000, 0.0000]],
  "e_tot_ev_per_atom": -4.10,
  "relative_energy_mev_per_atom": 0,
  "delta_e_f_mev_per_atom": 34.4
}

No. 19
{
  "formula": "BaIrPt2",
  "functional": "PBE",
  "state": "relaxed",
  "lattice": [[-4.4209, 2.3394, 1.2440], [-3.4821, -3.7996, 0.0542], [4.5477, 0.2274, 2.4148]],
  "species": ["Ba", "Pt", "Pt", "Ir"],
  "fractional_positions": [[0.2500, 0.7500, 0.5000], [0.0000, 0.0000, 0.0000], [0.5000, 0.5000, 0.0000], [0.7500, 0.2500, 0.5000]],
  "e_tot_ev_per_atom": -5.30,
  "relative_energy_mev_per_atom": 814,
  "delta_e_f_mev_per_atom": 417.2
}

No. 20
{
  "formula": "BaIrPt2",
  "functional": "PBE",
  "state": "relaxed",
  "lattice": [[-1.8537, -1.7274, 2.2161], [-1.6200, -1.5133, -2.5332], [5.1176, -5.4861, 0.0046]],
  "species": ["Ir", "Pt", "Pt", "Ba"],
  "fractional_positions": [[0.5000, 0.5000, 0.8297], [0.5000, 0.5000, 0.1909], [0.0000, 0.0000, 0.9818], [0.0000, 0.0000, 0.4975]],
  "e_tot_ev_per_atom": -5.54,
  "relative_energy_mev_per_atom": 569,
  "delta_e_f_mev_per_atom": 172.3
}